1.
This record from the Open Quantum Materials Database describes an optimized crystal structure of Nd2Nb. The functional is PBE.

Computed properties:
Excess energy over the best structure of this formula in the dataset, meV/atom: 0.0
Formation enthalpy at 0 K, kJ/mol of formula units: 299
SG: Fd-3m, No. 227
M_tot, μB per cell: 0.57

abc: 6.188 6.188 6.188
angles: 60.00 60.00 60.00
Each line ends with the local moment (μB).
Atoms (fractional coordinates):
Nb (0.000, 0.000, 0.000)  0.14
Nb (0.250, 0.250, 0.250)  0.14
Nd (0.625, 0.625, 0.125)  0.04
Nd (0.625, 0.125, 0.625)  0.03
Nd (0.125, 0.625, 0.625)  0.02
Nd (0.625, 0.625, 0.625)  0.03

=====

2.
This record from the Open Quantum Materials Database describes an optimized crystal structure of Nd2Nb. The functional is PBE.

Computed properties:
Excess energy over the best structure of this formula in the dataset, meV/atom: 836.8
Formation enthalpy at 0 K, kJ/mol of formula units: 541
SG: Fd-3m, No. 227
M_tot, μB per cell: 0.04

abc: 8.580 8.580 8.580
angles: 60.00 60.00 60.00
Atoms (fractional coordinates):
Nb (0.250, 0.250, 0.250)
Nb (0.500, 0.500, 0.500)
Nd (0.375, 0.375, 0.375)
Nd (0.875, 0.375, 0.375)
Nd (0.375, 0.875, 0.375)
Nd (0.375, 0.375, 0.875)

=====

3.
This record from the Open Quantum Materials Database describes an optimized crystal structure of Nd3NbO7. The functional is PBE.

Computed properties:
Excess energy over the best structure of this formula in the dataset, meV/atom: 11.5
SG: Cmcm, No. 63
M_tot, μB per cell: 0.00

abc: 6.620 6.620 7.663
angles: 90.00 90.00 68.41
Atoms (fractional coordinates):
Nb (0.500, 0.500, 0.000)
Nb (0.500, 0.500, 0.500)
Nd (0.000, 0.000, 0.000)
Nd (0.475, 0.075, 0.250)
Nd (0.925, 0.525, 0.250)
Nd (0.000, 0.000, 0.500)
Nd (0.075, 0.475, 0.750)
Nd (0.525, 0.925, 0.750)
O (0.183, 0.562, 0.038)
O (0.438, 0.817, 0.038)
O (0.106, 0.155, 0.250)
O (0.578, 0.422, 0.250)
O (0.845, 0.894, 0.250)
O (0.183, 0.562, 0.462)
O (0.438, 0.817, 0.462)
O (0.562, 0.183, 0.538)
O (0.817, 0.438, 0.538)
O (0.155, 0.106, 0.750)
O (0.422, 0.578, 0.750)
O (0.894, 0.845, 0.750)
O (0.562, 0.183, 0.962)
O (0.817, 0.438, 0.962)

=====

4.
This record from the Open Quantum Materials Database describes an optimized crystal structure of NdNbO3. The functional is PBE.

Computed properties:
SG: R-3, No. 148
M_tot, μB per cell: 0.17
Uncorrected energy, eV per atom: -8.457

abc: 5.603 5.603 6.118
angles: 62.75 62.75 60.00
Each line ends with the local moment (μB).
Atoms (fractional coordinates):
Nb (0.841, 0.841, 0.476)  0.07
Nb (0.159, 0.159, 0.524)  0.07
Nd (0.639, 0.639, 0.082)  0.00
Nd (0.361, 0.361, 0.918)  0.00
O (0.562, 0.215, 0.265)  0.00
O (0.215, 0.958, 0.265)  0.00
O (0.958, 0.562, 0.265)  0.00
O (0.042, 0.438, 0.735)  0.00
O (0.785, 0.042, 0.735)  0.00
O (0.438, 0.785, 0.735)  0.00